Density functional theory data (GGA-PBE) for a relaxed structure of Nb3ZnB.

abc: 4.3549 4.3549 4.3549
angles: 90.00 90.00 90.00
With the nearest neighbours (Å) after each atom.
Fractional coordinates of all 5 atoms:
Nb 0.0000 0.0000 0.5000  2 B 2.18
Nb 0.0000 0.5000 0.0000  2 B 2.18
Nb 0.5000 0.0000 0.0000  2 B 2.18
Zn 0.5000 0.5000 0.5000  12 Nb 3.08
B 0.0000 0.0000 0.0000  6 Nb 2.18

Summary:
- DFT formation energy: -0.003 eV per atom
- Size of the total moment: 0.00 μB per cell
- Relative energy among the computed polymorphs: 0.00 eV per formula unit
- Crystal system: cubic